Density functional theory data (PBE) for IrRuO3 after structural relaxation.

Lattice parameters (Å, degrees): 3.896 3.896 3.896 90.00 90.00 90.00
Fractional positions:
1 Ir 0.000 0.000 0.000
2 Ru 0.500 0.500 0.500
3 O 0.000 0.000 0.500
4 O 0.000 0.500 0.000
5 O 0.500 0.000 0.000

Calculated values
SG: Pm-3m (221)
Formation energy (no corrections) (meV per atom): 334
Total magnetic moment (μB per formula unit): 4.050